A plane-wave DFT calculation with SCAN was carried out for a PBEsol-optimized structure of Sr2PtBr.

symmetry: Fm-3m, No. 225
VASP energy: -138.82 eV per cell
offset from the most stable computed form: 258 meV per atom
DOS(E_F): 1.9 states/eV per cell
size of the total moment: 0.0 Bohr magnetons per cell

Unit cell a=5.322 b=5.322 c=5.322 alpha=60.00 beta=60.00 gamma=60.00
Positions (direct):
Sr: 0.250 0.250 0.250
Sr: 0.750 0.750 0.750
Pt: 0.000 0.000 0.000
Br: 0.500 0.500 0.500